# 1
The following is a DFT calculation (PBE) of an optimized crystal structure of LiCd.

Its raw total energy is -1.52 eV/atom.

```
LiCd
1.0
3.0998 0.0000 0.0000
-1.5499 2.6845 0.0000
0.0000 0.0000 9.8817
Cd Li
2 2
Direct
0.6667 0.3333 0.2590 Cd
0.0000 0.0000 0.9910 Cd
0.0000 0.0000 0.4988 Li
0.6667 0.3333 0.7512 Li
```



# 2
The following is a DFT calculation (PBE) of an optimized crystal structure of Li2SeBr6.

The value obtained for the uncorrected formation energy is -0.73 eV/atom.

```
Li2SeBr6
1.0
-6.1094 2.3713 0.8730
-2.2721 -4.0592 -4.8748
-2.0684 -8.1918 7.7758
Li Br Se
4 12 2
Direct
0.9964 0.4999 0.6627 Li
0.0036 0.5001 0.3373 Li
0.5036 0.9999 0.1627 Li
0.4964 0.0001 0.8373 Li
0.2183 0.1711 0.6618 Br
0.7769 0.8292 0.6597 Br
0.2769 0.6708 0.8403 Br
0.2231 0.1708 0.3403 Br
0.2817 0.6711 0.1618 Br
0.2300 0.6866 0.5012 Br
0.7817 0.8289 0.3382 Br
0.2700 0.1866 0.0012 Br
0.7183 0.3289 0.8382 Br
0.7700 0.3134 0.4988 Br
0.7300 0.8134 0.9988 Br
0.7231 0.3292 0.1597 Br
0.0000 0.0000 0.5000 Se
0.5000 0.5000 0.0000 Se
```



# 3
The following is a DFT calculation (PBE) of an optimized crystal structure of InBr2Cl.

The energy above the most stable polymorph in this dataset is 592 meV/atom. The value obtained for the uncorrected formation energy is -0.32 eV/atom.

```
InBr2Cl
1.0
5.0620 0.0000 0.0000
0.0000 5.0985 0.0000
0.0000 0.0000 5.3282
In Br Cl
1 2 1
Direct
0.5000 0.5000 0.7500 In
0.0000 0.0000 0.0048 Br
0.0000 0.0000 0.4952 Br
0.5000 0.5000 0.2500 Cl
```



Number 1: calculated density 4.820 g cm⁻³. Number 2: calculated density 3.715 g cm⁻³. Number 3: calculated density 3.744 g cm⁻³.